P.
Compound: SrAg3P
Source: Alexandria via LeMat-Bulk
Functional: PBE
Structure: relaxed

Cell lengths 5.553, 5.553, 5.553 Å; angles 90.00, 90.00, 90.00 degrees
Sites, in units of the cell vectors:
Sr  0.000  0.000  0.000
Ag  0.000  0.500  0.000
Ag  0.000  0.000  0.500
Ag  0.500  0.000  0.000
P  0.500  0.500  0.500

Values from the calculation:
crystal system: cubic

Q.
Compound: SrAg3P
Source: Alexandria via LeMat-Bulk
Functional: PBE
Structure: relaxed

Cell lengths 4.945, 4.945, 4.945 Å; angles 90.00, 90.00, 90.00 degrees
Sites, in units of the cell vectors:
Sr  0.500  0.500  0.500
Ag  0.000  0.500  0.000
Ag  0.000  0.000  0.500
Ag  0.500  0.000  0.000
P  0.000  0.000  0.000

Values from the calculation:
crystal system: cubic

Stability verdict: Q, ahead by 1.437 eV/atom

P.
Compound: SrAgP3
Source: Alexandria via LeMat-Bulk
Functional: PBE
Structure: relaxed

Cell lengths 5.462, 5.462, 5.462 Å; angles 90.00, 90.00, 90.00 degrees
Sites, in units of the cell vectors:
Sr  0.000  0.000  0.000
Ag  0.500  0.500  0.500
P  0.000  0.500  0.000
P  0.000  0.000  0.500
P  0.500  0.000  0.000

Values from the calculation:
crystal system: cubic

Q.
Compound: SrAgP3
Source: Alexandria via LeMat-Bulk
Functional: PBE
Structure: relaxed

Cell lengths 4.919, 4.919, 4.919 Å; angles 90.00, 90.00, 90.00 degrees
Sites, in units of the cell vectors:
Sr  0.500  0.500  0.500
Ag  0.000  0.000  0.000
P  0.000  0.500  0.000
P  0.000  0.000  0.500
P  0.500  0.000  0.000

Values from the calculation:
crystal system: cubic

Stability verdict: Q, ahead by 1.084 eV/atom

P.
Compound: Sr2AgP2
Source: Alexandria via LeMat-Bulk
Functional: PBE
Structure: relaxed

Cell lengths 5.736, 5.736, 6.011 Å; angles 61.50, 61.50, 90.00 degrees
Site moments in Bohr magnetons follow the coordinates.
Sites, in units of the cell vectors:
Sr  0.750  0.250  0.500  0.04
Sr  0.250  0.750  0.500  0.04
Ag  0.000  0.000  0.000  0.00
P  0.378  0.378  0.245  0.18
P  0.622  0.622  0.755  0.18

Values from the calculation:
crystal system: tetragonal

Q.
Compound: Sr2AgP2
Source: Alexandria via LeMat-Bulk
Functional: PBE
Structure: relaxed

Cell lengths 7.650, 7.650, 4.288 Å; angles 90.00, 90.00, 90.00 degrees
Sites, in units of the cell vectors:
Sr  0.151  0.651  0.500
Sr  0.651  0.849  0.500
Sr  0.849  0.349  0.500
Sr  0.349  0.151  0.500
Ag  0.000  0.000  0.000
Ag  0.500  0.500  0.000
P  0.342  0.842  0.000
P  0.842  0.658  0.000
P  0.658  0.158  0.000
P  0.158  0.342  0.000

Values from the calculation:
crystal system: tetragonal

Stability verdict: Q, ahead by 0.161 eV/atom

P.
Compound: TaAgP
Source: Alexandria via LeMat-Bulk
Functional: PBE
Structure: relaxed

Cell lengths 2.968, 2.968, 6.737 Å; angles 90.00, 90.00, 120.00 degrees
Sites, in units of the cell vectors:
Ag  0.000  0.000  0.004
P  0.333  0.667  0.354
Ta  0.667  0.333  0.642

Values from the calculation:
crystal system: trigonal

Q.
Compound: TaAgP
Source: Alexandria via LeMat-Bulk
Functional: PBE
Structure: relaxed

Cell lengths 6.694, 6.504, 2.959 Å; angles 80.65, 73.49, 25.86 degrees
Sites, in units of the cell vectors:
Ag  0.999  0.999  0.001
P  0.318  0.318  0.682
Ta  0.682  0.682  0.318

Values from the calculation:
crystal system: orthorhombic

R.
Compound: TaAgP
Source: Alexandria via LeMat-Bulk
Functional: PBE
Structure: relaxed

Cell lengths 4.199, 4.199, 4.199 Å; angles 60.00, 60.00, 60.00 degrees
Sites, in units of the cell vectors:
Ag  0.500  0.500  0.500
P  0.750  0.750  0.750
Ta  0.000  0.000  0.000

Values from the calculation:
crystal system: cubic

Stability verdict: Q, ahead by 0.021 eV/atom

P.
Compound: TaAgP
Source: Alexandria via LeMat-Bulk
Functional: PBE
Structure: relaxed

Cell lengths 4.207, 4.207, 3.531 Å; angles 90.00, 90.00, 120.00 degrees
Sites, in units of the cell vectors:
Ag  0.000  0.000  0.000
P  0.667  0.333  0.500
Ta  0.333  0.667  0.500

Values from the calculation:
crystal system: hexagonal

Q.
Compound: TaAgP
Source: Alexandria via LeMat-Bulk
Functional: PBE
Structure: relaxed

Cell lengths 4.337, 4.337, 4.337 Å; angles 60.00, 60.00, 60.00 degrees
Sites, in units of the cell vectors:
Ag  0.000  0.000  0.000
P  0.500  0.500  0.500
Ta  0.750  0.750  0.750

Values from the calculation:
crystal system: cubic

R.
Compound: TaAgP
Source: Alexandria via LeMat-Bulk
Functional: PBE
Structure: relaxed

Cell lengths 5.611, 5.611, 5.611 Å; angles 147.21, 147.21, 47.05 degrees
Sites, in units of the cell vectors:
Ag  0.996  0.996  0.000
P  0.307  0.307  0.000
Ta  0.697  0.697  0.000

Values from the calculation:
crystal system: tetragonal

Stability verdict: R, ahead by 0.197 eV/atom

P.
Compound: TaAgP3
Source: Alexandria via LeMat-Bulk
Functional: PBE
Structure: relaxed

Cell lengths 4.649, 4.649, 4.649 Å; angles 90.00, 90.00, 90.00 degrees
Sites, in units of the cell vectors:
P  0.000  0.500  0.000
P  0.000  0.000  0.500
P  0.500  0.000  0.000
Ag  0.000  0.000  0.000
Ta  0.500  0.500  0.500

Values from the calculation:
crystal system: cubic

Q.
Compound: TaAgP3
Source: Alexandria via LeMat-Bulk
Functional: PBE
Structure: relaxed

Cell lengths 4.815, 4.815, 4.815 Å; angles 90.00, 90.00, 90.00 degrees
Sites, in units of the cell vectors:
P  0.000  0.500  0.000
P  0.000  0.000  0.500
P  0.500  0.000  0.000
Ag  0.500  0.500  0.500
Ta  0.000  0.000  0.000

Values from the calculation:
crystal system: cubic

Stability verdict: Q, ahead by 1.018 eV/atom

P.
Compound: TcAg3P
Source: Alexandria via LeMat-Bulk
Functional: PBE
Structure: relaxed

Cell lengths 5.089, 5.089, 5.089 Å; angles 90.00, 90.00, 90.00 degrees
Site moments in Bohr magnetons follow the coordinates.
Sites, in units of the cell vectors:
P  0.500  0.500  0.500  0.31
Tc  0.000  0.000  0.000  2.70
Ag  0.000  0.500  0.000  0.15
Ag  0.000  0.000  0.500  0.19
Ag  0.500  0.000  0.000  0.07

Values from the calculation:
crystal system: cubic

Q.
Compound: TcAg3P
Source: Alexandria via LeMat-Bulk
Functional: PBE
Structure: relaxed

Cell lengths 4.673, 4.673, 4.673 Å; angles 90.00, 90.00, 90.00 degrees
Site moments in Bohr magnetons follow the coordinates.
Sites, in units of the cell vectors:
P  0.000  0.000  0.000  0.05
Tc  0.500  0.500  0.500  3.00
Ag  0.000  0.500  0.000  -0.01
Ag  0.000  0.000  0.500  0.00
Ag  0.500  0.000  0.000  -0.01

Values from the calculation:
crystal system: cubic

Stability verdict: Q, ahead by 0.838 eV/atom

P.
Compound: AgTeP
Source: Alexandria via LeMat-Bulk
Functional: PBE
Structure: relaxed

Cell lengths 3.560, 7.867, 10.536 Å; angles 90.00, 90.00, 90.00 degrees
Sites, in units of the cell vectors:
P  0.750  0.222  0.317
P  0.250  0.722  0.183
P  0.250  0.778  0.683
P  0.750  0.278  0.817
Te  0.750  0.721  0.507
Te  0.250  0.221  0.993
Te  0.250  0.279  0.493
Te  0.750  0.779  0.007
Ag  0.750  0.466  0.173
Ag  0.250  0.966  0.327
Ag  0.250  0.534  0.827
Ag  0.750  0.034  0.673

Values from the calculation:
crystal system: orthorhombic

Q.
Compound: AgTeP
Source: Alexandria via LeMat-Bulk
Functional: PBE
Structure: relaxed

Cell lengths 3.203, 3.203, 7.367 Å; angles 90.00, 90.00, 120.00 degrees
Sites, in units of the cell vectors:
Ag  0.000  0.000  0.033
P  0.667  0.333  0.283
Te  0.333  0.667  0.684

Values from the calculation:
crystal system: trigonal

R.
Compound: AgTeP
Source: Alexandria via LeMat-Bulk
Functional: PBE
Structure: relaxed

Cell lengths 6.524, 6.524, 6.524 Å; angles 152.63, 142.60, 46.96 degrees
Sites, in units of the cell vectors:
Ag  0.912  0.912  0.000
P  0.440  0.440  0.000
Te  0.649  0.649  0.000

Values from the calculation:
crystal system: orthorhombic

Stability verdict: R, ahead by 0.025 eV/atom

P.
Compound: Ag3TeP
Source: Alexandria via LeMat-Bulk
Functional: PBE
Structure: relaxed

Cell lengths 4.861, 4.861, 4.861 Å; angles 90.00, 90.00, 90.00 degrees
Sites, in units of the cell vectors:
P  0.000  0.000  0.000
Te  0.500  0.500  0.500
Ag  0.000  0.500  0.000
Ag  0.000  0.000  0.500
Ag  0.500  0.000  0.000

Values from the calculation:
crystal system: cubic

Q.
Compound: Ag3TeP
Source: Alexandria via LeMat-Bulk
Functional: PBE
Structure: relaxed

Cell lengths 5.306, 5.306, 5.306 Å; angles 90.00, 90.00, 90.00 degrees
Site moments in Bohr magnetons follow the coordinates.
Sites, in units of the cell vectors:
P  0.500  0.500  0.500  0.77
Te  0.000  0.000  0.000  0.07
Ag  0.000  0.500  0.000  0.04
Ag  0.000  0.000  0.500  0.00
Ag  0.500  0.000  0.000  0.05

Values from the calculation:
crystal system: cubic

Stability verdict: P, ahead by 0.527 eV/atom

P.
Compound: TlAg2P
Source: Alexandria via LeMat-Bulk
Functional: PBE
Structure: relaxed

Cell lengths 5.649, 5.649, 5.649 Å; angles 146.87, 121.11, 69.25 degrees
Sites, in units of the cell vectors:
Ag  0.971  0.971  0.000
Ag  0.529  0.529  0.000
P  0.750  0.250  0.500
Tl  0.250  0.750  0.500

Values from the calculation:
crystal system: orthorhombic

Q.
Compound: TlAg2P
Source: Alexandria via LeMat-Bulk
Functional: PBE
Structure: relaxed

Cell lengths 4.854, 4.854, 4.854 Å; angles 60.00, 60.00, 60.00 degrees
Sites, in units of the cell vectors:
P  0.000  0.000  0.000
Tl  0.500  0.500  0.500
Ag  0.250  0.250  0.250
Ag  0.750  0.750  0.750

Values from the calculation:
crystal system: cubic

Stability verdict: P, ahead by 0.007 eV/atom

P.
Compound: Tl2AgP2
Source: Alexandria via LeMat-Bulk
Functional: PBE
Structure: relaxed

Cell lengths 8.042, 8.042, 4.256 Å; angles 90.00, 90.00, 90.00 degrees
Sites, in units of the cell vectors:
P  0.090  0.590  0.500
P  0.590  0.910  0.500
P  0.910  0.410  0.500
P  0.410  0.090  0.500
Tl  0.311  0.811  0.000
Tl  0.811  0.689  0.000
Tl  0.689  0.189  0.000
Tl  0.189  0.311  0.000
Ag  0.000  0.000  0.000
Ag  0.500  0.500  0.000

Values from the calculation:
crystal system: tetragonal

Q.
Compound: Tl2AgP2
Source: Alexandria via LeMat-Bulk
Functional: PBE
Structure: relaxed

Cell lengths 6.591, 6.591, 5.381 Å; angles 90.00, 90.00, 90.00 degrees
Sites, in units of the cell vectors:
P  0.386  0.886  0.000
P  0.886  0.614  0.000
P  0.614  0.114  0.000
P  0.114  0.386  0.000
Tl  0.199  0.699  0.500
Tl  0.699  0.801  0.500
Tl  0.801  0.301  0.500
Tl  0.301  0.199  0.500
Ag  0.000  0.000  0.000
Ag  0.500  0.500  0.000

Values from the calculation:
crystal system: tetragonal

Stability verdict: Q, ahead by 0.221 eV/atom

P.
Compound: TlAg2P2
Source: Alexandria via LeMat-Bulk
Functional: PBE
Structure: relaxed

Cell lengths 3.810, 3.810, 7.381 Å; angles 75.04, 75.04, 90.00 degrees
Sites, in units of the cell vectors:
P  0.750  0.250  0.500
P  0.250  0.750  0.500
Tl  0.000  0.000  0.000
Ag  0.393  0.393  0.214
Ag  0.607  0.607  0.786

Values from the calculation:
crystal system: tetragonal

Q.
Compound: TlAg2P2
Source: Alexandria via LeMat-Bulk
Functional: PBE
Structure: relaxed

Cell lengths 4.538, 4.538, 5.968 Å; angles 67.65, 67.65, 90.00 degrees
Sites, in units of the cell vectors:
P  0.392  0.392  0.215
P  0.608  0.608  0.785
Tl  0.000  0.000  0.000
Ag  0.750  0.250  0.500
Ag  0.250  0.750  0.500

Values from the calculation:
crystal system: tetragonal

Stability verdict: Q, ahead by 0.247 eV/atom

P.
Compound: Tl3AgP
Source: Alexandria via LeMat-Bulk
Functional: PBE
Structure: relaxed

Cell lengths 5.433, 5.433, 5.433 Å; angles 90.00, 90.00, 90.00 degrees
Site moments in Bohr magnetons follow the coordinates.
Sites, in units of the cell vectors:
P  0.500  0.500  0.500  0.33
Tl  0.000  0.500  0.000  0.00
Tl  0.000  0.000  0.500  0.00
Tl  0.500  0.000  0.000  0.00
Ag  0.000  0.000  0.000  0.00

Values from the calculation:
crystal system: cubic

Q.
Compound: Tl3AgP
Source: Alexandria via LeMat-Bulk
Functional: PBE
Structure: relaxed

Cell lengths 5.366, 5.366, 5.366 Å; angles 90.00, 90.00, 90.00 degrees
Sites, in units of the cell vectors:
P  0.000  0.000  0.000
Tl  0.000  0.500  0.000
Tl  0.000  0.000  0.500
Tl  0.500  0.000  0.000
Ag  0.500  0.500  0.500

Values from the calculation:
crystal system: cubic

Stability verdict: Q, ahead by 0.107 eV/atom